1.
{
  "formula": "LiH2Au2",
  "functional": "PBE-GGA",
  "state": "optimized geometry",
  "cell": [[-0.3757, 5.1614, 4.7614], [-0.3944, -4.7762, 5.1463], [2.7496, 0.0031, 0.2136]],
  "species": ["H", "H", "H", "H", "Au", "Au", "Au", "Au", "Li", "Li"],
  "frac_coords": [[0.2440, 0.7440, 0.5000], [0.7440, 0.7560, 0.5000], [0.7560, 0.2560, 0.5000], [0.2560, 0.2440, 0.5000], [0.3573, 0.8573, 0.0000], [0.8573, 0.6427, 0.0000], [0.6427, 0.1427, 0.0000], [0.1427, 0.3573, 0.0000], [0.0000, 0.0000, 0.0000], [0.5000, 0.5000, 0.0000]],
  "crystal_system": "tetragonal"
}

2.
{
  "formula": "Li3HAu",
  "functional": "PBE-GGA",
  "state": "optimized geometry",
  "cell": [[-12.3435, 12.6009, -2.8572], [-4.8821, 2.9515, -3.6567], [2.7159, -5.0999, 3.5402]],
  "species": ["H", "H", "Au", "Au", "Li", "Li", "Li", "Li", "Li", "Li"],
  "frac_coords": [[0.8845, 0.9582, 0.0418], [0.1155, 0.0418, 0.9582], [0.6346, 0.0247, 0.9753], [0.3654, 0.9753, 0.0247], [0.8217, 0.1771, 0.8229], [0.1783, 0.8229, 0.1771], [0.0458, 0.2731, 0.7269], [0.9542, 0.7269, 0.2731], [0.3784, 0.7505, 0.2495], [0.6216, 0.2495, 0.7505]],
  "crystal_system": "monoclinic"
}

3.
{
  "formula": "Li2HAu2",
  "functional": "PBE-GGA",
  "state": "optimized geometry",
  "cell": [[-0.7760, 5.7060, -4.8163], [2.4326, -4.3848, -5.5869], [-2.6775, -0.8109, -0.5294]],
  "species": ["H", "H", "Au", "Au", "Au", "Au", "Li", "Li", "Li", "Li"],
  "frac_coords": [[0.0000, 0.0000, 0.0000], [0.5000, 0.5000, 0.0000], [0.1363, 0.6363, 0.5000], [0.6363, 0.8637, 0.5000], [0.8637, 0.3637, 0.5000], [0.3637, 0.1363, 0.5000], [0.3380, 0.8380, 0.0000], [0.8380, 0.6620, 0.0000], [0.6620, 0.1620, 0.0000], [0.1620, 0.3380, 0.0000]],
  "crystal_system": "tetragonal"
}

4.
{
  "formula": "Li2H4Au",
  "functional": "PBE-GGA",
  "state": "optimized geometry",
  "cell": [[3.7468, 0.0000, 0.0000], [0.0000, 3.7468, 0.0000], [1.8734, 1.8734, 5.0749]],
  "species": ["H", "H", "H", "H", "Au", "Li", "Li"],
  "frac_coords": [[0.1735, 0.1735, 0.6531], [0.8265, 0.8265, 0.3469], [0.0000, 0.5000, 0.0000], [0.5000, 0.0000, 0.0000], [0.0000, 0.0000, 0.0000], [0.3662, 0.3662, 0.2677], [0.6338, 0.6338, 0.7323]],
  "crystal_system": "tetragonal"
}

5.
{
  "formula": "Li3HAu",
  "functional": "PBE-GGA",
  "state": "optimized geometry",
  "cell": [[18.5457, 0.0000, -3.6517], [0.0000, 4.9797, 0.0000], [-6.8054, 0.0000, 4.2626]],
  "species": ["H", "H", "H", "H", "Au", "Au", "Au", "Au", "Li", "Li", "Li", "Li", "Li", "Li", "Li", "Li", "Li", "Li", "Li", "Li"],
  "frac_coords": [[0.4882, 0.7553, 0.5343], [0.5118, 0.2447, 0.4657], [0.0118, 0.2553, 0.9657], [0.9882, 0.7447, 0.0343], [0.9793, 0.2316, 0.3515], [0.0207, 0.7684, 0.6485], [0.5207, 0.7316, 0.1485], [0.4793, 0.2684, 0.8515], [0.3237, 0.9446, 0.0283], [0.6763, 0.0554, 0.9717], [0.1763, 0.4446, 0.4717], [0.8237, 0.5554, 0.5283], [0.3405, 0.4283, 0.2204], [0.6595, 0.5717, 0.7796], [0.1595, 0.9283, 0.2796], [0.8405, 0.0717, 0.7204], [0.4125, 0.7903, 0.5864], [0.5875, 0.2097, 0.4136], [0.0875, 0.2903, 0.9136], [0.9125, 0.7097, 0.0864]],
  "crystal_system": "monoclinic"
}

6.
{
  "formula": "Li3HAu",
  "functional": "PBE-GGA",
  "state": "optimized geometry",
  "cell": [[3.4052, 0.0000, 6.0605], [-1.7026, 2.9490, 6.0605], [-1.7026, -2.9490, 6.0605]],
  "species": ["H", "H", "Au", "Au", "Li", "Li", "Li", "Li", "Li", "Li"],
  "frac_coords": [[0.2500, 0.2500, 0.2500], [0.7500, 0.7500, 0.7500], [0.0000, 0.0000, 0.0000], [0.5000, 0.5000, 0.5000], [0.9588, 0.5412, 0.2500], [0.5412, 0.2500, 0.9588], [0.2500, 0.9588, 0.5412], [0.7500, 0.0412, 0.4588], [0.4588, 0.7500, 0.0412], [0.0412, 0.4588, 0.7500]],
  "crystal_system": "trigonal"
}

7.
{
  "formula": "Li4HAu",
  "functional": "PBE-GGA",
  "state": "optimized geometry",
  "cell": [[3.8349, 0.0002, 0.0045], [0.0000, 3.8328, 0.0061], [0.0118, 0.0166, 6.0890]],
  "species": ["Li", "Li", "Li", "Li", "H", "Au"],
  "frac_coords": [[0.4998, 0.9957, 0.2910], [0.5029, 0.9991, 0.7053], [0.0025, 0.4994, 0.7053], [0.0000, 0.4947, 0.2908], [0.0013, 0.9974, 0.4983], [0.5013, 0.4974, 0.9982]],
  "crystal_system": "monoclinic"
}

8.
{
  "formula": "LiH2Au2",
  "functional": "PBE-GGA",
  "state": "optimized geometry",
  "cell": [[3.6700, 0.0000, 0.0000], [0.0000, 4.1188, 0.0000], [0.0000, 0.0000, 4.1188]],
  "species": ["H", "H", "Au", "Au", "Li"],
  "frac_coords": [[0.0000, 0.5000, 0.0000], [0.0000, 0.0000, 0.5000], [0.5000, 0.5000, 0.0000], [0.5000, 0.0000, 0.5000], [0.0000, 0.0000, 0.0000]],
  "crystal_system": "tetragonal"
}

9.
{
  "formula": "Li3HAu",
  "functional": "PBE-GGA",
  "state": "optimized geometry",
  "cell": [[-0.5011, -1.1728, -2.4565], [9.2790, 3.6741, -2.0900], [1.8520, -3.8477, 1.4593]],
  "species": ["H", "H", "Au", "Au", "Li", "Li", "Li", "Li", "Li", "Li"],
  "frac_coords": [[0.1723, 0.9387, 0.7699], [0.6229, 0.8395, 0.2699], [0.9835, 0.5616, 0.8104], [0.8115, 0.2166, 0.3103], [0.7376, 0.0708, 0.8137], [0.0583, 0.7075, 0.3143], [0.3606, 0.3170, 0.8101], [0.1863, 0.9683, 0.3302], [0.4335, 0.4611, 0.3100], [0.6079, 0.8103, 0.8309]],
  "crystal_system": "orthorhombic"
}

10.
{
  "formula": "Li2HAu2",
  "functional": "PBE-GGA",
  "state": "optimized geometry",
  "cell": [[3.7304, 0.0000, 0.0000], [0.0000, 4.1867, 0.0000], [0.0000, 0.0000, 4.1867]],
  "species": ["Li", "Li", "H", "Au", "Au"],
  "frac_coords": [[0.0000, 0.0000, 0.5000], [0.0000, 0.5000, 0.0000], [0.0000, 0.0000, 0.0000], [0.5000, 0.5000, 0.5000], [0.5000, 0.0000, 0.0000]],
  "crystal_system": "tetragonal"
}

11.
{
  "formula": "Li3HAu",
  "functional": "PBE-GGA",
  "state": "optimized geometry",
  "cell": [[0.0000, 5.2529, 5.2529], [5.2529, 0.0000, 5.2529], [5.2529, 5.2529, 0.0000]],
  "species": ["H", "H", "H", "H", "Au", "Au", "Au", "Au", "Li", "Li", "Li", "Li", "Li", "Li", "Li", "Li", "Li", "Li", "Li", "Li"],
  "frac_coords": [[0.1250, 0.1250, 0.1250], [0.1250, 0.6250, 0.1250], [0.6250, 0.1250, 0.1250], [0.1250, 0.1250, 0.6250], [0.6250, 0.6250, 0.6250], [0.6250, 0.1250, 0.6250], [0.1250, 0.6250, 0.6250], [0.6250, 0.6250, 0.1250], [0.8009, 0.1991, 0.1991], [0.0509, 0.4491, 0.4491], [0.4491, 0.4491, 0.0509], [0.4491, 0.0509, 0.0509], [0.0509, 0.4491, 0.0509], [0.8009, 0.1991, 0.8009], [0.4491, 0.0509, 0.4491], [0.0509, 0.0509, 0.4491], [0.1991, 0.8009, 0.1991], [0.1991, 0.8009, 0.8009], [0.1991, 0.1991, 0.8009], [0.8009, 0.8009, 0.1991]],
  "crystal_system": "cubic"
}

12.
{
  "formula": "Li3HAu",
  "functional": "PBE-GGA",
  "state": "optimized geometry",
  "cell": [[4.0769, 0.0000, 1.7254], [-2.0384, 3.5307, 1.7254], [-2.0384, -3.5307, 1.7254]],
  "species": ["H", "Au", "Li", "Li", "Li"],
  "frac_coords": [[0.0232, 0.0232, 0.0232], [0.3734, 0.3734, 0.3734], [0.7016, 0.0752, 0.7016], [0.0752, 0.7016, 0.7016], [0.7016, 0.7016, 0.0752]],
  "crystal_system": "trigonal"
}

Magnetization for the records above, in order: 0.0; 0.0; 0.4; 0.0; 0.0; 0.0; 0.0; 0.0; 0.0; 0.0; 0.0; 0.0 μB per cell
VASP energy for the records above, in order: -2.945; -2.791; -2.683; -2.998; -2.855; -2.676; -2.555; -3.154; -2.884; -3.151; -2.668; -2.697 eV per atom